DFT (PBE) results for an optimized crystal structure of MgAgAuSe3.

Cell and atoms, written as CIF:
```
data_MgAgAuSe3
_chemical_formula_sum 'Mg2 Ag2 Au2 Se6'
_symmetry_space_group_name_H-M 'P 1'
_symmetry_Int_Tables_number 1
_symmetry_space_group_name_Hall 'P 1'
_cell_length_a 8.036
_cell_length_b 8.036
_cell_length_c 8.903
_cell_angle_alpha 90.00
_cell_angle_beta 90.00
_cell_angle_gamma 151.74
loop_
_atom_site_label
_atom_site_fract_x
_atom_site_fract_y
_atom_site_fract_z
Ag1 0.049 0.951 0.250
Ag2 0.951 0.049 0.750
Mg1 0.790 0.210 0.250
Se1 0.200 0.800 0.397
Se2 0.800 0.200 0.897
Se3 0.800 0.200 0.603
Mg2 0.210 0.790 0.750
Se4 0.581 0.419 0.750
Au1 0.500 0.500 0.000
Au2 0.500 0.500 0.500
Se5 0.419 0.581 0.250
Se6 0.200 0.800 0.103
```

The theoretical density is 6.90 g/cm³. The raw total energy is -3.27 eV/atom.